Computed, not measured: an optimized crystal structure of OsRuSe2 at the GGA-PBE level of DFT.

```
OsRuSe2
1.0
3.045 0.000 0.000
0.000 3.811 0.000
0.000 0.000 6.367
Ru Se Os
1 2 1
direct
0.500 0.500 0.736 Ru
0.500 0.500 0.356 Se
0.000 0.000 0.893 Se
0.000 0.000 0.515 Os
```

- Distance to the lowest polymorph of the same formula: 0.095 eV/atom
- Raw formation energy: 252 meV/atom
- Space-group type: Pmm2, No. 25
- Size of the total moment: 0.00 μB/f.u.

***

Computed, not measured: an optimized crystal structure of Os2RuSe at the GGA-PBE level of DFT.

```
Os2RuSe
1.0
-5.527 4.410 4.927
-7.222 2.288 4.108
-5.503 1.949 6.339
Os Ru Se
2 1 1
direct
0.000 0.000 0.000 Os
0.750 0.750 0.750 Os
0.503 0.503 0.503 Ru
0.248 0.248 0.248 Se
```

- Raw formation energy: 416 meV/atom
- Space-group type: R3m, No. 160
- Size of the total moment: 0.00 μB/f.u.

***

Computed, not measured: an optimized crystal structure of OsRuSe2 at the GGA-PBE level of DFT.

```
OsRuSe2
1.0
-8.743 3.434 2.566
-7.824 2.408 5.272
-7.008 5.181 4.343
Se Os Ru
2 1 1
direct
0.225 0.225 0.225 Se
0.026 0.026 0.026 Se
0.498 0.498 0.498 Os
0.751 0.751 0.751 Ru
```

- Distance to the lowest polymorph of the same formula: 0.064 eV/atom
- Raw formation energy: 221 meV/atom
- Space-group type: R3m, No. 160
- Size of the total moment: 0.00 μB/f.u.

***

Computed, not measured: an optimized crystal structure of OsRu2Se at the GGA-PBE level of DFT.

```
OsRu2Se
1.0
-0.201 -2.311 -4.066
3.632 -2.953 -0.061
-3.294 0.666 3.259
Ru Os Se
2 1 1
direct
0.000 0.000 0.000 Ru
0.500 0.500 0.000 Ru
0.750 0.250 0.500 Os
0.250 0.750 0.500 Se
```

- Raw formation energy: 567 meV/atom
- Space-group type: I4/mmm, No. 139
- Size of the total moment: 0.00 μB/f.u.

***

Computed, not measured: an optimized crystal structure of Os2RuSe at the GGA-PBE level of DFT.

```
Os2RuSe
1.0
4.039 0.000 0.000
0.000 2.887 -0.001
0.000 1.524 5.094
Os Ru Se
2 1 1
direct
0.000 0.626 0.503 Os
0.000 0.874 0.997 Os
0.500 0.250 0.250 Ru
0.500 0.750 0.750 Se
```

- Raw formation energy: 559 meV/atom
- Space-group type: P2/m, No. 10
- Size of the total moment: 0.00 μB/f.u.

***

Computed, not measured: an optimized crystal structure of Os2RuSe at the GGA-PBE level of DFT.

```
Os2RuSe
1.0
2.864 0.000 0.000
0.000 2.864 0.000
0.000 0.000 7.223
Os Se Ru
2 1 1
direct
0.000 0.000 0.007 Os
0.500 0.500 0.245 Os
0.500 0.500 0.741 Se
0.000 0.000 0.506 Ru
```

- Raw formation energy: 423 meV/atom
- Space-group type: P4mm, No. 99
- Size of the total moment: 0.00 μB/f.u.